Record 1
AlOs2Pb | PBE-GGA | optimized geometry

Cell: 2.908 2.908 9.179 Å, 90.00 90.00 117.06°
Element x y z (fractional)
Pb: 0.500 0.500 0.250
Os: 0.000 0.000 0.966
Os: 0.000 0.000 0.534
Al: 0.500 0.500 0.750

Computed properties:
As for the energy of formation from the pure elements: 2.60 eV per formula unit.


Record 2
Rb3Tm2PaSe6 | PBE-GGA | optimized geometry

Cell: 7.287 7.287 8.384 Å, 98.33 98.33 119.99°
Each line ends with the local moment (μB).
Element x y z (fractional)
Rb: 0.166 0.834 0.500  0.00
Rb: 0.834 0.166 0.500  0.00
Rb: 0.500 0.500 0.500  0.00
Tm: 0.333 0.667 0.000  0.10
Tm: 0.667 0.333 0.000  0.10
Pa: 0.000 0.000 0.000  1.31
Se: 0.935 0.598 0.804  -0.01
Se: 0.728 0.728 0.196  -0.01
Se: 0.065 0.402 0.196  -0.01
Se: 0.598 0.935 0.804  -0.01
Se: 0.272 0.272 0.804  -0.01
Se: 0.402 0.065 0.196  -0.01

Computed properties:
The calculation puts the formation energy without anion corrections at -18.623 eV/f.u.


Record 3
LaRh2PbBr | PBE-GGA | optimized geometry

Cell: 4.749 5.647 4.749 Å, 90.00 90.00 90.00°
Element x y z (fractional)
Pb: 0.000 0.500 0.000
Rh: 0.000 0.000 0.500
Rh: 0.500 0.000 0.000
Br: 0.000 0.000 0.000
La: 0.500 0.500 0.500

Computed properties:
The calculation puts the formation energy without anion corrections at 1.766 eV/f.u.


Record 4
LiTm3Co8 | PBE-GGA | optimized geometry

Cell: 4.970 4.970 8.585 Å, 73.17 73.17 60.00°
Each line ends with the local moment (μB).
Element x y z (fractional)
Li: 0.873 0.873 0.382  -0.04
Tm: 0.376 0.376 0.871  -0.42
Tm: 0.993 0.993 0.020  -0.40
Tm: 0.505 0.505 0.485  -0.40
Co: 0.938 0.437 0.189  1.28
Co: 0.439 0.938 0.684  1.35
Co: 0.437 0.437 0.189  1.28
Co: 0.938 0.938 0.684  1.35
Co: 0.188 0.188 0.435  1.42
Co: 0.687 0.687 0.938  1.27
Co: 0.437 0.938 0.189  1.28
Co: 0.938 0.439 0.684  1.35

Computed properties:
As for the energy of formation from the pure elements: -2.23 eV per formula unit.


Record 5
CsRbTc2O8 | PBE-GGA | optimized geometry

Cell: 6.481 6.538 8.186 Å, 63.64 66.68 60.29°
Element x y z (fractional)
Cs: 0.500 0.500 0.500
Rb: 0.000 0.000 0.000
Tc: 0.275 0.250 0.199
Tc: 0.725 0.750 0.801
O: 0.893 0.493 0.721
O: 0.652 0.650 0.046
O: 0.107 0.507 0.279
O: 0.348 0.350 0.954
O: 0.544 0.071 0.279
O: 0.456 0.929 0.721
O: 0.106 0.071 0.279
O: 0.894 0.929 0.721

Computed properties:
The calculation puts the formation energy without anion corrections at -20.226 eV/f.u.


Record 6
SrIn2S2 | PBE-GGA | optimized geometry

Cell: 8.268 8.268 3.898 Å, 90.00 90.00 90.00°
Element x y z (fractional)
Sr: 0.000 0.000 0.000
Sr: 0.500 0.500 0.000
S: 0.202 0.702 0.500
S: 0.702 0.798 0.500
S: 0.798 0.298 0.500
S: 0.298 0.202 0.500
In: 0.379 0.879 0.000
In: 0.879 0.621 0.000
In: 0.621 0.121 0.000
In: 0.121 0.379 0.000

Computed properties:
The calculation puts the formation energy without anion corrections at -2.428 eV/f.u.